{
  "formula": "TaI4",
  "functional": "PBE",
  "state": "optimized geometry",
  "lattice": [[5.5421, 0.0000, 0.0000], [0.0000, 5.5421, 0.0000], [0.0000, 0.0000, 5.5421]],
  "species": ["Ta", "I", "I", "I", "I"],
  "fractional_positions": [[0.0000, 0.0000, 0.0000], [0.0000, 0.0000, 0.5000], [0.0000, 0.5000, 0.0000], [0.5000, 0.0000, 0.0000], [0.5000, 0.5000, 0.5000]],
  "energy_ev_per_atom": -3.498,
  "m_tot_mub_per_cell": 0.0,
  "formation_energy_uncorrected_ev_per_atom": 0.11
}

---

{
  "formula": "TaI",
  "functional": "PBE",
  "state": "optimized geometry",
  "lattice": [[14.2199, 0.0000, 0.0000], [0.0000, 3.6564, 0.0000], [0.0000, 0.0000, 9.0864]],
  "species": ["Ta", "Ta", "Ta", "Ta", "Ta", "Ta", "Ta", "Ta", "I", "I", "I", "I", "I", "I", "I", "I"],
  "fractional_positions": [[0.0444, 0.2500, 0.1010], [0.1411, 0.7500, 0.9308], [0.3589, 0.2500, 0.4308], [0.4556, 0.7500, 0.6010], [0.5444, 0.2500, 0.3990], [0.6411, 0.7500, 0.5692], [0.8589, 0.2500, 0.0692], [0.9556, 0.7500, 0.8990], [0.0755, 0.7500, 0.6440], [0.1882, 0.7500, 0.2458], [0.3118, 0.2500, 0.7458], [0.4245, 0.2500, 0.1440], [0.5755, 0.7500, 0.8560], [0.6882, 0.7500, 0.2542], [0.8118, 0.2500, 0.7542], [0.9245, 0.2500, 0.3560]],
  "energy_ev_per_atom": -6.497,
  "m_tot_mub_per_cell": 0.0,
  "formation_energy_uncorrected_ev_per_atom": 0.20
}

---

{
  "formula": "TaI2",
  "functional": "PBE",
  "state": "optimized geometry",
  "lattice": [[16.1399, 0.0000, 0.0000], [0.0000, 3.7428, 0.0000], [-1.7054, 0.0000, 6.3076]],
  "species": ["Ta", "Ta", "Ta", "Ta", "I", "I", "I", "I", "I", "I", "I", "I"],
  "fractional_positions": [[0.2411, 0.0000, 0.3325], [0.2589, 0.5000, 0.6675], [0.7411, 0.5000, 0.3325], [0.7589, 0.0000, 0.6675], [0.1105, 0.5000, 0.3386], [0.1490, 0.0000, 0.8656], [0.3510, 0.5000, 0.1344], [0.3895, 0.0000, 0.6614], [0.6105, 0.0000, 0.3386], [0.6490, 0.5000, 0.8656], [0.8510, 0.0000, 0.1344], [0.8895, 0.5000, 0.6614]],
  "energy_ev_per_atom": -5.132,
  "m_tot_mub_per_cell": 0.0,
  "formation_energy_uncorrected_ev_per_atom": -0.15
}

---

{
  "formula": "TaI5",
  "functional": "PBE",
  "state": "optimized geometry",
  "lattice": [[15.0136, 0.0000, 0.0000], [0.0000, 20.9726, 0.0000], [0.0000, 0.0000, 7.0649]],
  "species": ["Ta", "Ta", "Ta", "Ta", "Ta", "Ta", "Ta", "Ta", "I", "I", "I", "I", "I", "I", "I", "I", "I", "I", "I", "I", "I", "I", "I", "I", "I", "I", "I", "I", "I", "I", "I", "I", "I", "I", "I", "I", "I", "I", "I", "I", "I", "I", "I", "I", "I", "I", "I", "I"],
  "fractional_positions": [[0.1255, 0.1417, 0.0025], [0.1255, 0.3583, 0.0025], [0.3745, 0.6417, 0.5025], [0.3745, 0.8583, 0.5025], [0.6255, 0.1417, 0.4975], [0.6255, 0.3583, 0.4975], [0.8745, 0.6417, 0.9975], [0.8745, 0.8583, 0.9975], [0.0220, 0.6517, 0.2208], [0.0220, 0.8483, 0.2208], [0.0448, 0.0632, 0.2440], [0.0448, 0.4368, 0.2440], [0.0533, 0.2500, 0.2175], [0.1979, 0.2500, 0.7876], [0.2061, 0.0631, 0.7608], [0.2061, 0.4369, 0.7608], [0.2268, 0.6516, 0.7254], [0.2268, 0.8484, 0.7254], [0.2732, 0.1516, 0.2254], [0.2732, 0.3484, 0.2254], [0.2939, 0.5631, 0.2608], [0.2939, 0.9369, 0.2608], [0.3021, 0.7500, 0.2876], [0.4467, 0.7500, 0.7175], [0.4552, 0.5632, 0.7440], [0.4552, 0.9368, 0.7440], [0.4780, 0.1517, 0.7208], [0.4780, 0.3483, 0.7208], [0.5220, 0.6517, 0.2792], [0.5220, 0.8483, 0.2792], [0.5448, 0.0632, 0.2560], [0.5448, 0.4368, 0.2560], [0.5533, 0.2500, 0.2825], [0.6979, 0.2500, 0.7124], [0.7061, 0.0631, 0.7392], [0.7061, 0.4369, 0.7392], [0.7268, 0.6516, 0.7746], [0.7268, 0.8484, 0.7746], [0.7732, 0.1516, 0.2746], [0.7732, 0.3484, 0.2746], [0.7939, 0.5631, 0.2392], [0.7939, 0.9369, 0.2392], [0.8021, 0.7500, 0.2124], [0.9467, 0.7500, 0.7825], [0.9552, 0.5632, 0.7560], [0.9552, 0.9368, 0.7560], [0.9780, 0.1517, 0.7792], [0.9780, 0.3483, 0.7792]],
  "energy_ev_per_atom": -3.699,
  "m_tot_mub_per_cell": 0.0,
  "formation_energy_uncorrected_ev_per_atom": -0.43
}

---

{
  "formula": "TaI",
  "functional": "PBE",
  "state": "optimized geometry",
  "lattice": [[6.8319, 0.0000, 0.0000], [0.0000, 6.8319, 0.0000], [0.0000, 0.0000, 5.3717]],
  "species": ["Ta", "Ta", "Ta", "Ta", "I", "I", "I", "I"],
  "fractional_positions": [[0.1180, 0.1180, 0.0000], [0.3820, 0.6180, 0.5000], [0.6180, 0.3820, 0.5000], [0.8820, 0.8820, 0.0000], [0.2178, 0.2178, 0.5000], [0.2822, 0.7178, 0.0000], [0.7178, 0.2822, 0.0000], [0.7822, 0.7822, 0.5000]],
  "energy_ev_per_atom": -5.611,
  "m_tot_mub_per_cell": 0.0,
  "formation_energy_uncorrected_ev_per_atom": 1.09
}

---

{
  "formula": "TaI",
  "functional": "PBE",
  "state": "optimized geometry",
  "lattice": [[3.5186, 0.0000, 0.0000], [0.0000, 12.9057, 0.0000], [0.0000, 0.0000, 6.6268]],
  "species": ["Ta", "Ta", "Ta", "Ta", "Ta", "Ta", "I", "I", "I", "I", "I", "I"],
  "fractional_positions": [[0.0000, 0.0000, 0.0000], [0.0000, 0.5000, 0.5000], [0.5000, 0.1682, 0.9506], [0.5000, 0.3318, 0.4506], [0.5000, 0.6682, 0.4506], [0.5000, 0.8318, 0.9506], [0.0000, 0.1692, 0.2972], [0.0000, 0.3308, 0.7972], [0.0000, 0.6692, 0.7972], [0.0000, 0.8308, 0.2972], [0.5000, 0.0000, 0.6636], [0.5000, 0.5000, 0.1636]],
  "energy_ev_per_atom": -6.058,
  "m_tot_mub_per_cell": 0.0,
  "formation_energy_uncorrected_ev_per_atom": 0.64
}

---

{
  "formula": "TaI",
  "functional": "PBE",
  "state": "optimized geometry",
  "lattice": [[12.3434, 0.0000, 0.0000], [0.0000, 12.3434, 0.0000], [0.0000, 0.0000, 3.4330]],
  "species": ["Ta", "Ta", "Ta", "Ta", "Ta", "Ta", "Ta", "Ta", "I", "I", "I", "I", "I", "I", "I", "I"],
  "fractional_positions": [[0.1857, 0.6985, 0.0000], [0.1985, 0.3143, 0.5000], [0.3015, 0.1857, 0.0000], [0.3143, 0.8015, 0.5000], [0.6857, 0.1985, 0.5000], [0.6985, 0.8143, 0.0000], [0.8015, 0.6857, 0.5000], [0.8143, 0.3015, 0.0000], [0.0119, 0.7738, 0.5000], [0.2262, 0.0119, 0.5000], [0.2738, 0.4881, 0.0000], [0.4881, 0.7262, 0.0000], [0.5119, 0.2738, 0.0000], [0.7262, 0.5119, 0.0000], [0.7738, 0.9881, 0.5000], [0.9881, 0.2262, 0.5000]],
  "energy_ev_per_atom": -6.136,
  "m_tot_mub_per_cell": 0.0,
  "formation_energy_uncorrected_ev_per_atom": 0.57
}

---

{
  "formula": "TaI",
  "functional": "PBE",
  "state": "optimized geometry",
  "lattice": [[11.7669, 0.0000, 0.0000], [0.0000, 11.7669, 0.0000], [0.0000, 0.0000, 3.5532]],
  "species": ["Ta", "Ta", "Ta", "Ta", "Ta", "Ta", "Ta", "Ta", "I", "I", "I", "I", "I", "I", "I", "I"],
  "fractional_positions": [[0.0754, 0.6047, 0.0000], [0.1035, 0.4210, 0.5000], [0.3953, 0.0754, 0.0000], [0.4210, 0.8965, 0.5000], [0.5790, 0.1035, 0.5000], [0.6047, 0.9246, 0.0000], [0.8965, 0.5790, 0.5000], [0.9246, 0.3953, 0.0000], [0.1767, 0.7858, 0.5000], [0.2142, 0.1767, 0.5000], [0.2884, 0.4759, 0.0000], [0.4759, 0.7116, 0.0000], [0.5241, 0.2884, 0.0000], [0.7116, 0.5241, 0.0000], [0.7858, 0.8233, 0.5000], [0.8233, 0.2142, 0.5000]],
  "energy_ev_per_atom": -6.627,
  "m_tot_mub_per_cell": 0.0,
  "formation_energy_uncorrected_ev_per_atom": 0.07
}

---

{
  "formula": "TaI",
  "functional": "PBE",
  "state": "optimized geometry",
  "lattice": [[8.8604, 0.0000, 0.0000], [0.0000, 8.8604, 0.0000], [0.0000, 0.0000, 8.8604]],
  "species": ["Ta", "Ta", "Ta", "Ta", "Ta", "Ta", "Ta", "Ta", "I", "I", "I", "I", "I", "I", "I", "I"],
  "fractional_positions": [[0.1044, 0.1044, 0.8956], [0.1044, 0.8956, 0.1044], [0.3956, 0.3956, 0.3956], [0.3956, 0.6044, 0.6044], [0.6044, 0.3956, 0.6044], [0.6044, 0.6044, 0.3956], [0.8956, 0.1044, 0.1044], [0.8956, 0.8956, 0.8956], [0.2036, 0.2036, 0.2036], [0.2036, 0.7964, 0.7964], [0.2964, 0.2964, 0.7036], [0.2964, 0.7036, 0.2964], [0.7036, 0.2964, 0.2964], [0.7036, 0.7036, 0.7036], [0.7964, 0.2036, 0.7964], [0.7964, 0.7964, 0.2036]],
  "energy_ev_per_atom": -5.989,
  "m_tot_mub_per_cell": 2.2,
  "formation_energy_uncorrected_ev_per_atom": 0.71
}

---

{
  "formula": "TaI2",
  "functional": "PBE",
  "state": "optimized geometry",
  "lattice": [[14.4144, 0.0000, 0.0000], [0.0000, 3.7114, 0.0000], [-0.4962, 0.0000, 8.2779]],
  "species": ["Ta", "Ta", "Ta", "Ta", "I", "I", "I", "I", "I", "I", "I", "I"],
  "fractional_positions": [[0.0000, 0.0000, 0.0000], [0.1355, 0.5000, 0.9375], [0.5000, 0.5000, 0.0000], [0.6355, 0.0000, 0.9375], [0.0550, 0.5000, 0.2485], [0.1961, 0.0000, 0.6980], [0.3075, 0.5000, 0.1229], [0.4576, 0.0000, 0.7523], [0.5550, 0.0000, 0.2485], [0.6961, 0.5000, 0.6980], [0.8075, 0.0000, 0.1229], [0.9576, 0.5000, 0.7523]],
  "energy_ev_per_atom": -5.153,
  "m_tot_mub_per_cell": 0.0,
  "formation_energy_uncorrected_ev_per_atom": -0.17
}

---

{
  "formula": "TaTcI2",
  "functional": "PBE",
  "state": "optimized geometry",
  "lattice": [[6.8031, 0.0000, 0.0000], [0.0000, 6.8031, 0.0000], [0.0000, 0.0000, 6.8031]],
  "species": ["Ta", "Ta", "Ta", "Ta", "Tc", "Tc", "Tc", "Tc", "I", "I", "I", "I", "I", "I", "I", "I"],
  "fractional_positions": [[0.0000, 0.0000, 0.0000], [0.0000, 0.5000, 0.5000], [0.5000, 0.0000, 0.5000], [0.5000, 0.5000, 0.0000], [0.0000, 0.0000, 0.5000], [0.0000, 0.5000, 0.0000], [0.5000, 0.0000, 0.0000], [0.5000, 0.5000, 0.5000], [0.2500, 0.2500, 0.2500], [0.2500, 0.2500, 0.7500], [0.2500, 0.7500, 0.2500], [0.2500, 0.7500, 0.7500], [0.7500, 0.2500, 0.2500], [0.7500, 0.2500, 0.7500], [0.7500, 0.7500, 0.2500], [0.7500, 0.7500, 0.7500]],
  "energy_ev_per_atom": -5.310,
  "m_tot_mub_per_cell": 0.0,
  "formation_energy_uncorrected_ev_per_atom": 1.02
}

---

{
  "formula": "TaTc2I",
  "functional": "PBE",
  "state": "optimized geometry",
  "lattice": [[6.5236, 0.0000, 0.0000], [0.0000, 6.5236, 0.0000], [0.0000, 0.0000, 6.5236]],
  "species": ["Ta", "Ta", "Ta", "Ta", "Tc", "Tc", "Tc", "Tc", "Tc", "Tc", "Tc", "Tc", "I", "I", "I", "I"],
  "fractional_positions": [[0.0000, 0.0000, 0.0000], [0.0000, 0.5000, 0.5000], [0.5000, 0.0000, 0.5000], [0.5000, 0.5000, 0.0000], [0.2500, 0.2500, 0.2500], [0.2500, 0.2500, 0.7500], [0.2500, 0.7500, 0.2500], [0.2500, 0.7500, 0.7500], [0.7500, 0.2500, 0.2500], [0.7500, 0.2500, 0.7500], [0.7500, 0.7500, 0.2500], [0.7500, 0.7500, 0.7500], [0.0000, 0.0000, 0.5000], [0.0000, 0.5000, 0.0000], [0.5000, 0.0000, 0.0000], [0.5000, 0.5000, 0.5000]],
  "energy_ev_per_atom": -7.811,
  "m_tot_mub_per_cell": 0.0,
  "formation_energy_uncorrected_ev_per_atom": 0.72
}